1.
CaCd3F | PBE | relaxed

Structure (POSCAR):
```
CaCd3F
1.0
5.019 0.000 0.000
0.000 5.019 0.000
0.000 0.000 5.019
Ca F Cd
1 1 3
direct
0.500 0.500 0.500 Ca
0.000 0.000 0.000 F
0.000 0.500 0.000 Cd
0.000 0.000 0.500 Cd
0.500 0.000 0.000 Cd
```

Computed properties:
E_form (uncorrected): -0.56 eV per atom

2.
Ba2GaGe | PBE | relaxed

Structure (POSCAR):
```
Ba2GaGe
1.0
-5.915 6.583 1.949
-5.682 -6.138 3.488
-4.213 0.657 6.066
Ge Ba Ga
2 4 2
direct
0.000 0.000 0.000 Ge
0.750 0.250 0.500 Ge
0.638 0.125 0.250 Ba
0.112 0.625 0.250 Ba
0.375 0.362 0.750 Ba
0.875 0.888 0.750 Ba
0.500 0.500 0.000 Ga
0.250 0.750 0.500 Ga
```

Computed properties:
energy of formation: 0.006 eV/atom

3.
NaReNi | PBE | relaxed

Structure (POSCAR):
```
NaReNi
1.0
4.901 0.000 0.000
0.000 4.239 0.000
0.000 0.000 10.871
Re Na Ni
4 4 4
direct
0.993 0.250 0.753 Re
0.507 0.750 0.253 Re
0.007 0.750 0.247 Re
0.493 0.250 0.747 Re
0.753 0.250 0.472 Na
0.747 0.750 0.972 Na
0.247 0.750 0.528 Na
0.253 0.250 0.028 Na
0.256 0.250 0.291 Ni
0.244 0.750 0.791 Ni
0.744 0.750 0.709 Ni
0.756 0.250 0.209 Ni
```

Computed properties:
energy of formation: 0.569 eV/atom

4.
Cd2CuHg | PBE | relaxed

Structure (POSCAR):
```
Cd2CuHg
1.0
5.156 -0.242 0.082
3.927 3.350 0.082
1.501 0.514 4.421
Cd Cu Hg
2 1 1
direct
0.998 0.998 0.001 Cd
0.770 0.770 0.717 Cd
0.502 0.502 0.514 Cu
0.230 0.230 0.269 Hg
```

Computed properties:
energy of formation: 0.123 eV/atom

5.
RbMgBe | PBE | relaxed

Structure (POSCAR):
```
RbMgBe
1.0
4.154 0.000 0.019
0.000 4.546 -0.018
-0.076 -2.293 11.748
Be Mg Rb
2 2 2
direct
0.107 0.022 0.616 Be
0.599 0.023 0.616 Be
0.856 0.124 0.813 Mg
0.355 0.560 0.688 Mg
0.355 0.741 0.039 Rb
0.849 0.419 0.412 Rb
```

Computed properties:
energy of formation: 0.421 eV/atom

6.
La4Pm2HoEr2 | PBE | relaxed

Structure (POSCAR):
```
La4Pm2HoEr2
1.0
3.647 0.000 0.000
-1.824 9.325 1.654
0.000 -1.561 8.820
La Pm Ho Er
4 2 1 2
direct
0.777 0.554 0.674 La
0.223 0.446 0.326 La
0.556 0.112 0.327 La
0.444 0.888 0.673 La
0.889 0.778 0.328 Pm
0.111 0.222 0.672 Pm
0.000 0.000 0.000 Ho
0.334 0.668 0.002 Er
0.666 0.332 0.998 Er
```

Computed properties:
energy of formation: 0.029 eV/atom

7.
La3Zn2CuPd6 | PBE | relaxed

Structure (POSCAR):
```
La3Zn2CuPd6
1.0
-1.480 3.303 4.422
0.352 -5.666 0.657
8.486 0.789 2.251
La Zn Cu Pd
3 2 1 6
direct
0.333 0.667 0.617 La
0.667 0.333 0.383 La
0.000 0.000 0.000 La
0.667 0.333 0.968 Zn
0.333 0.667 0.032 Zn
0.000 0.000 0.500 Cu
0.658 0.829 0.276 Pd
0.171 0.342 0.276 Pd
0.171 0.829 0.276 Pd
0.829 0.658 0.724 Pd
0.342 0.171 0.724 Pd
0.829 0.171 0.724 Pd
```

Computed properties:
energy of formation: -0.614 eV/atom

8.
Hg3BiPd6 | PBE | relaxed

Structure (POSCAR):
```
Hg3BiPd6
1.0
4.837 0.000 0.000
0.000 7.363 -2.755
0.000 -0.171 10.263
Hg Bi Pd
6 2 12
direct
0.250 0.536 0.376 Hg
0.750 0.464 0.624 Hg
0.250 0.365 0.793 Hg
0.750 0.635 0.207 Hg
0.250 0.772 0.985 Hg
0.750 0.228 0.015 Hg
0.250 0.947 0.598 Bi
0.750 0.053 0.402 Bi
0.250 0.457 0.082 Pd
0.750 0.543 0.918 Pd
0.250 0.156 0.182 Pd
0.750 0.844 0.818 Pd
0.250 0.656 0.687 Pd
0.750 0.344 0.313 Pd
0.250 0.258 0.486 Pd
0.750 0.742 0.514 Pd
0.250 0.858 0.281 Pd
0.750 0.142 0.719 Pd
0.250 0.063 0.887 Pd
0.750 0.937 0.113 Pd
```

Computed properties:
energy of formation: -0.160 eV/atom